# ZrTl2Se | the Alexandria database | meta-GGA SCAN | PBEsol geometry
data_ZrTl2Se
_cell_length_a 7.141
_cell_length_b 7.141
_cell_length_c 7.141
_cell_angle_alpha 90.00
_cell_angle_beta 90.00
_cell_angle_gamma 90.00
_symmetry_space_group_name_H-M 'F -4 3 m'
_symmetry_Int_Tables_number 216
_symmetry_space_group_name_Hall 'F -4 2 3'
loop_
_atom_site_label
_atom_site_fract_x
_atom_site_fract_y
_atom_site_fract_z
Zr1 0.000 0.000 0.000
Tl1 0.000 0.000 0.500
Tl2 0.250 0.250 0.750
Se1 0.250 0.250 0.250
# Formation energy from raw total energies: 0.016 eV per atom
# Final energy: -781.7 eV for the cell shown
# Distance to the lowest polymorph of the same formula: 219 meV/atom

# ZrTl2Se | the Alexandria database | meta-GGA SCAN | PBEsol geometry
data_ZrTl2Se
_cell_length_a 3.575
_cell_length_b 5.999
_cell_length_c 4.485
_cell_angle_alpha 90.00
_cell_angle_beta 90.46
_cell_angle_gamma 90.00
_symmetry_space_group_name_H-M 'P 1 2/m 1'
_symmetry_Int_Tables_number 10
_symmetry_space_group_name_Hall '-P 2y'
loop_
_atom_site_label
_atom_site_fract_x
_atom_site_fract_y
_atom_site_fract_z
Zr1 0.000 0.000 0.000
Tl1 0.249 0.500 0.248
Se1 0.500 0.000 0.500
# Formation energy from raw total energies: -0.161 eV per atom
# Final energy: -196.1 eV for the cell shown
# Distance to the lowest polymorph of the same formula: 42 meV/atom

# ZrTl2Se | the Alexandria database | meta-GGA SCAN | PBEsol geometry
data_ZrTl2Se
_cell_length_a 3.642
_cell_length_b 5.750
_cell_length_c 9.071
_cell_angle_alpha 90.00
_cell_angle_beta 90.00
_cell_angle_gamma 90.00
_symmetry_space_group_name_H-M 'C m m m'
_symmetry_Int_Tables_number 65
_symmetry_space_group_name_Hall '-C 2 2'
loop_
_atom_site_label
_atom_site_fract_x
_atom_site_fract_y
_atom_site_fract_z
Zr1 0.000 0.000 0.000
Tl1 0.000 0.500 0.261
Se1 0.000 0.000 0.500
# Formation energy from raw total energies: 0.116 eV per atom
# Final energy: -390.1 eV for the cell shown
# Distance to the lowest polymorph of the same formula: 318 meV/atom

# TmSe2 | the Alexandria database | meta-GGA SCAN | PBEsol geometry
data_TmSe2
_cell_length_a 3.979
_cell_length_b 3.979
_cell_length_c 8.099
_cell_angle_alpha 90.00
_cell_angle_beta 90.00
_cell_angle_gamma 90.00
_symmetry_space_group_name_H-M 'P 4/n m m'
_symmetry_Int_Tables_number 129
loop_
_symmetry_equiv_pos_as_xyz
'x,y,z'
'-x,-y,-z'
'-y+1/2,x,z'
'y+1/2,-x,-z'
'-x+1/2,-y+1/2,z'
'x+1/2,y+1/2,-z'
'y,-x+1/2,z'
'-y,x+1/2,-z'
'x+1/2,-y,-z'
'-x+1/2,y,z'
'-y,-x,-z'
'y,x,z'
'-x,y+1/2,-z'
'x,-y+1/2,z'
'y+1/2,x+1/2,-z'
'-y+1/2,-x+1/2,z'
loop_
_atom_site_label
_atom_site_fract_x
_atom_site_fract_y
_atom_site_fract_z
Tm1 0.250 0.250 0.228
Se1 0.250 0.250 0.870
Se2 0.250 0.750 0.500
# Formation energy from raw total energies: -1.683 eV per atom
# Final energy: -194.1 eV for the cell shown